Below is a relaxed structure of TlAs2SeO, with properties calculated at the PBEsol level.

Cell lengths 4.0842, 4.0842, 6.5375 Å; angles 90.00, 90.00, 90.00 degrees
Closest atoms and distances in Å follow each position.
Sites, in units of the cell vectors:
O1 0.0000 0.0000 0.0000  4 As 2.04
Tl1 0.5000 0.5000 0.5000  4 Se 2.89
As1 0.0000 0.5000 0.0000  2 O 2.04
As2 0.5000 0.0000 0.0000  2 O 2.04
Se1 0.0000 0.0000 0.5000  4 Tl 2.89

Computed properties:
- formation energy from raw total energies (meV per atom) = 213.5
- symmetry = No. 123
- electronic total energy (eV for the cell shown) = -20.87

---

Below is a relaxed structure of CoNi, with properties calculated at the PBEsol level.

Cell lengths 2.4400, 4.6797, 5.8285 Å; angles 104.30, 90.00, 105.11 degrees
Closest atoms and distances in Å follow each position.
Sites, in units of the cell vectors:
Co1 0.9985 0.9969 0.9990  6 Ni 2.43-2.47, 6 Co 2.43-2.44
Co2 0.3899 0.7798 0.2782  5 Co 2.43-2.45, 7 Ni 2.44-2.45
Co3 0.3338 0.6676 0.6672  7 Ni 2.43-2.46, 5 Co 2.44-2.45
Ni1 0.6673 0.3347 0.3325  5 Ni 2.43-2.45, 7 Co 2.44-2.47
Ni2 0.0543 0.1086 0.6103  6 Co 2.43-2.46, 6 Ni 2.44-2.47
Ni3 0.7229 0.4457 0.9462  5 Ni 2.43-2.47, 7 Co 2.43-2.45

Computed properties:
- symmetry = No. 8
- electronic total energy (eV for the cell shown) = -41.69
- energy relative to the elements (eV/atom) = -0.001

---

Below is a relaxed structure of Re2CI, with properties calculated at the PBEsol level.

Cell lengths 4.2938, 4.2938, 4.2938 Å; angles 60.00, 60.00, 60.00 degrees
Closest atoms and distances in Å follow each position.
Sites, in units of the cell vectors:
I1 0.5000 0.5000 0.5000  8 Re 2.63
Re1 0.2500 0.2500 0.2500  4 I 2.63, 4 C 2.63
Re2 0.7500 0.7500 0.7500  4 I 2.63, 4 C 2.63
C1 0.0000 0.0000 0.0000  8 Re 2.63

Computed properties:
- formation energy from raw total energies (meV per atom) = 1934.8
- symmetry = No. 225
- electronic total energy (eV for the cell shown) = -30.34

---

Below is a relaxed structure of ZrZnIr3, with properties calculated at the PBEsol level.

Cell lengths 4.4358, 4.4358, 4.4358 Å; angles 90.00, 90.00, 90.00 degrees
Closest atoms and distances in Å follow each position.
Sites, in units of the cell vectors:
Zn1 0.0000 0.0000 0.0000  6 Ir 2.22
Ir1 0.0000 0.5000 0.0000  2 Zn 2.22
Ir2 0.0000 0.0000 0.5000  2 Zn 2.22
Ir3 0.5000 0.0000 0.0000  2 Zn 2.22
Zr1 0.5000 0.5000 0.5000  12 Ir 3.14

Computed properties:
- symmetry = No. 221
- electronic total energy (eV for the cell shown) = -36.64
- energy relative to the elements (eV/atom) = 0.701